The following is a DFT calculation (SCAN) of a PBEsol-optimized structure of TaSiNi.

Summary:
Its raw total energy is -189.33 eV for the cell shown. For the formation energy from raw total energies, the calculation gives -0.63 eV/atom. For the total magnetization, the calculation gives 0.000 μB per atom. The calculation puts the density of states at the Fermi level at 0.294 states/eV per atom. Its space-group type is Imm2 (44).

a = 4.9679 Å, b = 4.9679 Å, c = 4.9679 Å
α = 135.61°, β = 102.06°, γ = 94.38°
Fractional coordinates of all 6 atoms:
Ta  0.0000  0.0000  0.0000
Ta  0.5961  0.0961  0.5000
Si  0.1756  0.3905  0.7851
Si  0.6054  0.3905  0.2149
Ni  0.0218  0.7165  0.3054
Ni  0.4111  0.7165  0.6946


The following is a DFT calculation (SCAN) of a PBEsol-optimized structure of Nb3SnBi.

Summary:
Its raw total energy is -205.49 eV for the cell shown. For the total magnetization, the calculation gives 0.000 μB per atom. The calculation puts the density of states at the Fermi level at 1.255 states/eV per atom. The calculation puts the formation energy at 1.680 eV/atom. Its space-group type is Pm-3m (221).

a = 5.0952 Å, b = 5.0952 Å, c = 5.0952 Å
α = 90.00°, β = 90.00°, γ = 90.00°
Fractional coordinates of all 5 atoms:
Nb  0.0000  0.0000  0.5000
Nb  0.0000  0.5000  0.0000
Nb  0.5000  0.0000  0.0000
Sn  0.5000  0.5000  0.5000
Bi  0.0000  0.0000  0.0000


Please write out number 2 again, unchanged.
The following is a DFT calculation (SCAN) of a PBEsol-optimized structure of Nb3SnBi.

Summary:
Its raw total energy is -205.49 eV for the cell shown. For the total magnetization, the calculation gives 0.000 μB per atom. The calculation puts the density of states at the Fermi level at 1.255 states/eV per atom. The calculation puts the formation energy at 1.680 eV/atom. Its space-group type is Pm-3m (221).

a = 5.0952 Å, b = 5.0952 Å, c = 5.0952 Å
α = 90.00°, β = 90.00°, γ = 90.00°
Fractional coordinates of all 5 atoms:
Nb  0.0000  0.0000  0.5000
Nb  0.0000  0.5000  0.0000
Nb  0.5000  0.0000  0.0000
Sn  0.5000  0.5000  0.5000
Bi  0.0000  0.0000  0.0000


Which of these has the lowest raw total energy?
Nb3SnBi


Copy entry 2 word for word.
The following is a DFT calculation (SCAN) of a PBEsol-optimized structure of Nb3SnBi.

Summary:
Its raw total energy is -205.49 eV for the cell shown. For the total magnetization, the calculation gives 0.000 μB per atom. The calculation puts the density of states at the Fermi level at 1.255 states/eV per atom. The calculation puts the formation energy at 1.680 eV/atom. Its space-group type is Pm-3m (221).

a = 5.0952 Å, b = 5.0952 Å, c = 5.0952 Å
α = 90.00°, β = 90.00°, γ = 90.00°
Fractional coordinates of all 5 atoms:
Nb  0.0000  0.0000  0.5000
Nb  0.0000  0.5000  0.0000
Nb  0.5000  0.0000  0.0000
Sn  0.5000  0.5000  0.5000
Bi  0.0000  0.0000  0.0000